A plane-wave DFT calculation with PBE-GGA was carried out for UAl4Fe8 after structural relaxation.

Output
The value obtained for the formation enthalpy at 0 K is -2.3 eV per formula unit. The density of states at the Fermi level comes out at 1.154 states/eV per atom.

Cell: 8.508 8.508 4.810 Å, 90.00 90.00 90.00°
Space group I4/mmm (No. 139)
Unique sites:
U (0.000, 0.000, 0.000) x2
Al (0.000, 0.347, 0.000) x8
Fe (0.000, 0.227, 0.500) x8
Fe (0.250, 0.250, 0.250) x8